Entry 1:
The following is a DFT calculation (GGA-PBE) of crystalline CeErTm at its relaxed geometry.

Computed properties:
Fermi-level density of states in states/eV per cell: 13.84
E_tot in eV/atom: -4.905
Excess energy over the best structure of this formula in the dataset in eV/atom: 0.025

abc: 3.4337 5.2930 10.0883
angles: 90.00 99.78 90.00
Atoms (fractional coordinates):
Ce 0.2099 0.2500 0.4189
Ce 0.7901 0.7500 0.5811
Er 0.3842 0.2500 0.7675
Er 0.6158 0.7500 0.2325
Tm 0.0400 0.2500 0.0841
Tm 0.9600 0.7500 0.9159



Entry 2:
The following is a DFT calculation (GGA-PBE) of crystalline CaDy2Sn9 at its relaxed geometry.

Computed properties:
Fermi-level density of states in states/eV per cell: 4.83
E_tot in eV/atom: -4.350

abc: 4.8002 4.8002 13.7882
angles: 90.00 90.00 90.00
Atoms (fractional coordinates):
Ca 0.0000 0.0000 0.0000
Dy 0.0000 0.0000 0.3364
Dy 0.0000 0.0000 0.6636
Sn 0.0000 0.5000 0.1690
Sn 0.0000 0.5000 0.5000
Sn 0.0000 0.5000 0.8310
Sn 0.5000 0.0000 0.1690
Sn 0.5000 0.0000 0.5000
Sn 0.5000 0.0000 0.8310
Sn 0.5000 0.5000 0.0000
Sn 0.5000 0.5000 0.3342
Sn 0.5000 0.5000 0.6659



Entry 3:
The following is a DFT calculation (GGA-PBE) of crystalline CsAg2Se2 at its relaxed geometry.

Computed properties:
Formation energy from raw total energies in eV per atom: -0.46
Fermi-level density of states in states/eV per cell: 3.92
E_tot in eV/atom: -3.160
Excess energy over the best structure of this formula in the dataset in eV/atom: 0.000

abc: 7.8555 7.8555 7.8555
angles: 146.92 146.92 47.49
Atoms (fractional coordinates):
Cs 0.0000 0.0000 0.0000
Ag 0.2500 0.7500 0.5000
Ag 0.7500 0.2500 0.5000
Se 0.3572 0.3572 0.0000
Se 0.6428 0.6428 0.0000



Entry 4:
The following is a DFT calculation (GGA-PBE) of crystalline Rh3Au at its relaxed geometry.

Computed properties:
Fermi-level density of states in states/eV per cell: 8.32
E_tot in eV/atom: -5.947

abc: 5.1950 5.1950 5.1950
angles: 116.99 116.99 116.99
Atoms (fractional coordinates):
Rh 0.0000 0.5000 0.5000
Rh 0.5000 0.0000 0.5000
Rh 0.5000 0.5000 0.0000
Au 0.0000 0.0000 0.0000



Entry 5:
The following is a DFT calculation (GGA-PBE) of crystalline FeSb2Ir at its relaxed geometry.

Computed properties:
Formation energy from raw total energies in eV per atom: 0.47
Fermi-level density of states in states/eV per cell: 5.43
E_tot in eV/atom: -5.923
Excess energy over the best structure of this formula in the dataset in eV/atom: 0.573

abc: 7.1313 7.1313 7.1313
angles: 132.11 132.11 70.05
Atoms (fractional coordinates):
Fe 0.0000 0.0000 0.0000
Fe 0.7500 0.2500 0.5000
Sb 0.1086 0.6250 0.9836
Sb 0.3750 0.3586 0.4836
Sb 0.6414 0.1250 0.0164
Sb 0.8750 0.8914 0.5164
Ir 0.2500 0.7500 0.5000
Ir 0.5000 0.5000 0.0000



Entry 6:
The following is a DFT calculation (GGA-PBE) of crystalline KHPtRh2 at its relaxed geometry.

Computed properties:
Fermi-level density of states in states/eV per cell: 6.95
E_tot in eV/atom: -3.754

abc: 4.7777 4.7777 6.3329
angles: 90.00 90.00 90.00
Atoms (fractional coordinates):
K 0.0000 0.0000 0.0000
H 0.5000 0.5000 0.0000
Pt 0.0000 0.0000 0.5000
Rh 0.0000 0.5000 0.5000
Rh 0.5000 0.0000 0.5000



Entry 7:
The following is a DFT calculation (GGA-PBE) of crystalline LiCe3Ge5 at its relaxed geometry.

Computed properties:
Fermi-level density of states in states/eV per cell: 20.23
E_tot in eV/atom: -5.323

abc: 8.6536 8.6536 5.9709
angles: 90.00 90.00 120.00
Atoms (fractional coordinates):
Li 0.0000 0.0000 0.0000
Li 0.0000 0.0000 0.5000
Ce 0.0000 0.3767 0.2500
Ce 0.0000 0.6233 0.7500
Ce 0.3767 0.0000 0.2500
Ce 0.3767 0.3767 0.7500
Ce 0.6233 0.0000 0.7500
Ce 0.6233 0.6233 0.2500
Ge 0.0000 0.2798 0.7500
Ge 0.0000 0.7202 0.2500
Ge 0.2798 0.0000 0.7500
Ge 0.2798 0.2798 0.2500
Ge 0.3333 0.6667 0.0000
Ge 0.3333 0.6667 0.5000
Ge 0.6667 0.3333 0.0000
Ge 0.6667 0.3333 0.5000
Ge 0.7202 0.0000 0.2500
Ge 0.7202 0.7202 0.7500



Entry 8:
The following is a DFT calculation (GGA-PBE) of crystalline Pu3Si7Ru at its relaxed geometry.

Computed properties:
Formation energy from raw total energies in eV per atom: -0.36
Fermi-level density of states in states/eV per cell: 48.22
E_tot in eV/atom: -8.566

abc: 9.6409 9.6409 10.7063
angles: 90.00 90.00 156.64
Atoms (fractional coordinates):
Pu 0.1074 0.8926 0.5532
Pu 0.1074 0.8926 0.9468
Pu 0.2348 0.7652 0.2500
Pu 0.7652 0.2348 0.7500
Pu 0.8926 0.1074 0.0532
Pu 0.8926 0.1074 0.4468
Si 0.2676 0.7324 0.5455
Si 0.2676 0.7324 0.9545
Si 0.3753 0.6247 0.6433
Si 0.3753 0.6247 0.8567
Si 0.3866 0.6134 0.2500
Si 0.5004 0.4996 0.1184
Si 0.5004 0.4996 0.3816
Si 0.4996 0.5004 0.6184
Si 0.4996 0.5004 0.8816
Si 0.6134 0.3866 0.7500
Si 0.6247 0.3753 0.1433
Si 0.6247 0.3753 0.3567
Si 0.7324 0.2676 0.0455
Si 0.7324 0.2676 0.4545
Ru 0.0530 0.9470 0.2500
Ru 0.9470 0.0530 0.7500



Repeat the third record exactly.
The following is a DFT calculation (GGA-PBE) of crystalline CsAg2Se2 at its relaxed geometry.

Computed properties:
Formation energy from raw total energies in eV per atom: -0.46
Fermi-level density of states in states/eV per cell: 3.92
E_tot in eV/atom: -3.160
Excess energy over the best structure of this formula in the dataset in eV/atom: 0.000

abc: 7.8555 7.8555 7.8555
angles: 146.92 146.92 47.49
Atoms (fractional coordinates):
Cs 0.0000 0.0000 0.0000
Ag 0.2500 0.7500 0.5000
Ag 0.7500 0.2500 0.5000
Se 0.3572 0.3572 0.0000
Se 0.6428 0.6428 0.0000



Copy entry 5 word for word.
The following is a DFT calculation (GGA-PBE) of crystalline FeSb2Ir at its relaxed geometry.

Computed properties:
Formation energy from raw total energies in eV per atom: 0.47
Fermi-level density of states in states/eV per cell: 5.43
E_tot in eV/atom: -5.923
Excess energy over the best structure of this formula in the dataset in eV/atom: 0.573

abc: 7.1313 7.1313 7.1313
angles: 132.11 132.11 70.05
Atoms (fractional coordinates):
Fe 0.0000 0.0000 0.0000
Fe 0.7500 0.2500 0.5000
Sb 0.1086 0.6250 0.9836
Sb 0.3750 0.3586 0.4836
Sb 0.6414 0.1250 0.0164
Sb 0.8750 0.8914 0.5164
Ir 0.2500 0.7500 0.5000
Ir 0.5000 0.5000 0.0000



> E_tot of number 3 (CsAg2Se2)?

-3.160 eV/atom